(1)
This record from the Alexandria database describes a relaxed structure of KLaMo2O8. The functional is GGA+U.

Cell lengths 7.617, 7.617, 8.922 Å; angles 59.60, 59.60, 85.53 degrees
Fractional coordinates of all 24 atoms:
1 Mo 0.683 0.692 0.266
2 Mo 0.692 0.683 0.766
3 Mo 0.308 0.317 0.234
4 Mo 0.317 0.308 0.734
5 La 0.226 0.774 0.750
6 La 0.774 0.226 0.250
7 O 0.389 0.088 0.380
8 O 0.913 0.815 0.726
9 O 0.611 0.912 0.620
10 O 0.815 0.913 0.226
11 O 0.185 0.087 0.774
12 O 0.201 0.420 0.390
13 O 0.912 0.611 0.120
14 O 0.420 0.201 0.890
15 O 0.087 0.185 0.274
16 O 0.371 0.575 0.963
17 O 0.629 0.425 0.037
18 O 0.580 0.799 0.110
19 O 0.088 0.389 0.880
20 O 0.425 0.629 0.537
21 O 0.799 0.580 0.610
22 O 0.575 0.371 0.463
23 K 0.823 0.177 0.750
24 K 0.177 0.823 0.250

***

(2)
This record from the Alexandria database describes a relaxed structure of K2LaMoO6. The functional is GGA+U.

Cell lengths 6.141, 6.140, 6.138 Å; angles 59.98, 59.99, 60.00 degrees
Fractional coordinates of all 10 atoms:
1 Mo 0.316 0.316 0.051
2 O 0.540 0.094 0.276
3 O 0.542 0.092 0.827
4 O 0.092 0.538 0.827
5 O 0.094 0.090 0.276
6 O 0.538 0.542 0.827
7 O 0.090 0.540 0.276
8 K 0.067 0.066 0.801
9 K 0.566 0.566 0.302
10 La 0.816 0.816 0.551

***

| no. | VASP energy (eV per atom) |
| --- | --- |
| 1 | -7.16 |
| 2 | -6.43 |